# 1
VASP calculation (PBE) on an optimized crystal structure of BaTbCuBO5.

## Properties
* ΔE_f (raw): -2.482 eV/atom
* symmetry: No. 100
* DOS at the Fermi energy: 2.9 states/eV per cell
* calculated density: 6.6 Mg/m³

Cell and atoms, written as POSCAR:
```
BaTbCuBO5
1.0
5.4806 0.0000 0.0000
0.0000 5.4806 0.0000
0.0000 0.0000 7.5915
Ba Tb Cu B O
2 2 2 2 10
Direct
0.0000 0.0000 0.0000
0.5000 0.5000 0.0000
0.0000 0.0000 0.5098
0.5000 0.5000 0.5098
0.0000 0.5000 0.7215
0.5000 0.0000 0.7215
0.0000 0.5000 0.2575
0.5000 0.0000 0.2575
0.0000 0.5000 0.0736
0.1575 0.3425 0.3458
0.2475 0.7475 0.7069
0.2525 0.2475 0.7069
0.3425 0.8425 0.3458
0.5000 0.0000 0.0736
0.6575 0.1575 0.3458
0.7475 0.7525 0.7069
0.7525 0.2525 0.7069
0.8425 0.6575 0.3458
```



# 2
VASP calculation (PBE) on an optimized crystal structure of Th2Co12As7.

## Properties
* formation enthalpy at 0 K: -917 kJ/mol of formula units
* symmetry: No. 174
* DOS at the Fermi energy: 16.8 states/eV per cell
* calculated density: 9.6 Mg/m³

Cell and atoms, written as POSCAR:
```
Th2Co12As7
1.0
9.4029 0.0000 0.0000
-4.7015 8.1432 0.0000
0.0000 0.0000 3.8199
Th Co As
2 12 7
Direct
0.0000 0.0000 0.0000
0.3333 0.6667 0.5000
0.0427 0.2778 0.5000
0.1057 0.7101 0.0000
0.2351 0.9573 0.5000
0.2899 0.3956 0.0000
0.3902 0.1848 0.0000
0.5468 0.4387 0.5000
0.5613 0.1081 0.5000
0.6044 0.8943 0.0000
0.7222 0.7649 0.5000
0.7946 0.6098 0.0000
0.8152 0.2054 0.0000
0.8919 0.4532 0.5000
0.0647 0.4408 0.0000
0.2690 0.2315 0.5000
0.3760 0.9353 0.0000
0.5592 0.6240 0.0000
0.6667 0.3333 0.0000
0.7685 0.0374 0.5000
0.9626 0.7310 0.5000
```



# 3
VASP calculation (PBE) on an optimized crystal structure of DyIn2S4.

## Properties
* ΔE_f (raw): -0.997 eV/atom
* symmetry: No. 63
* DOS at the Fermi energy: 3.9 states/eV per cell
* calculated density: 5.5 Mg/m³

Cell and atoms, written as POSCAR:
```
DyIn2S4
1.0
1.9096 -6.4115 0.0000
1.9096 6.4115 0.0000
0.0000 0.0000 12.8518
Dy In S
2 4 8
Direct
0.1169 0.8831 0.7500
0.8831 0.1169 0.2500
0.3694 0.6306 0.5674
0.3694 0.6306 0.9326
0.6306 0.3694 0.0674
0.6306 0.3694 0.4326
0.0000 0.0000 0.0000
0.0000 0.0000 0.5000
0.2811 0.7189 0.1217
0.2811 0.7189 0.3783
0.4634 0.5366 0.7500
0.5366 0.4634 0.2500
0.7189 0.2811 0.6217
0.7189 0.2811 0.8783
```



# 4
VASP calculation (PBE) on an optimized crystal structure of MnVNi2.

## Properties
* formation enthalpy at 0 K: 121 kJ/mol of formula units
* symmetry: No. 122
* DOS at the Fermi energy: 9.1 states/eV per cell
* calculated density: 7.3 Mg/m³

Cell and atoms, written as POSCAR:
```
MnVNi2
1.0
-1.7235 1.7235 8.5037
1.7235 -1.7235 8.5037
1.7235 1.7235 -8.5037
Mn V Ni
2 2 4
Direct
0.0000 0.0000 0.0000
0.7500 0.2500 0.5000
0.2500 0.7500 0.5000
0.5000 0.5000 0.0000
0.1206 0.6250 0.9956
0.3750 0.3706 0.4956
0.6294 0.1250 0.0044
0.8750 0.8794 0.5044
```



# 5
VASP calculation (PBE) on an optimized crystal structure of CsMgSc2Ru.

## Properties
* formation enthalpy at 0 K: 248 kJ/mol of formula units
* symmetry: No. 123
* DOS at the Fermi energy: 4.5 states/eV per cell
* calculated density: 3.7 Mg/m³

Cell and atoms, written as POSCAR:
```
CsMgSc2Ru
1.0
5.0813 0.0000 0.0000
0.0000 5.0813 0.0000
0.0000 0.0000 6.0332
Cs Mg Sc Ru
1 1 2 1
Direct
0.0000 0.0000 0.0000
0.5000 0.5000 0.0000
0.0000 0.5000 0.5000
0.5000 0.0000 0.5000
0.0000 0.0000 0.5000
```



# 6
VASP calculation (PBE) on an optimized crystal structure of YCuSb2.

## Properties
* ΔE_f (raw): -0.188 eV/atom
* symmetry: No. 99
* DOS at the Fermi energy: 1.7 states/eV per cell
* calculated density: 6.6 Mg/m³

Cell and atoms, written as POSCAR:
```
YCuSb2
1.0
3.3519 0.0000 0.0000
0.0000 3.3519 0.0000
0.0000 0.0000 8.8450
Y Cu Sb
1 1 2
Direct
0.0000 0.0000 0.0000
0.5000 0.5000 0.2127
0.0000 0.0000 0.3840
0.5000 0.5000 0.7483
```